Compound: LiSbTe2
Source: Alexandria via LeMat-Bulk
Functional: PBE
Structure: relaxed

```
4
Lattice="-0.414 2.933 4.326 -4.583 1.248 -2.219 -1.723 -3.002 1.870" Properties=species:S:1:pos:R:3 pbc="T T T"
Li -1.069 -0.034 3.098
Sb -3.153 -0.877 -0.174
Te 0.000 0.000 0.000
Te -2.499 2.090 1.053
```

DFT total energy, eV per cell: -13.05
Total magnetic moment, μB/cell: 0.000
SG: Cmmm, No. 65
Raw formation energy, eV/atom: -0.182

Compound: BeCuAs
Source: Alexandria via LeMat-Bulk
Functional: PBE
Structure: relaxed

```
6
Lattice="3.343 -1.930 0.000 0.000 3.860 0.000 0.000 0.000 8.031" Properties=species:S:1:pos:R:3 pbc="T T T"
Be 0.000 0.000 2.008
Be 0.000 0.000 6.023
As 0.000 0.000 0.000
As 0.000 0.000 4.015
Cu 1.114 1.930 2.008
Cu 2.229 0.000 6.023
```

DFT formation energy, meV per atom: 603
DFT total energy, eV per cell: -21.33
Total magnetic moment, μB/cell: 0.000
SG: P6_3/mmc, No. 194

Compound: CaCuReP2
Source: Alexandria via LeMat-Bulk
Functional: PBE
Structure: relaxed

```
5
Lattice="4.549 0.000 0.000 0.000 4.756 0.000 0.000 0.000 4.549" Properties=species:S:1:pos:R:3 pbc="T T T"
Re 0.000 2.378 0.000
Ca 2.275 2.378 2.275
Cu 0.000 0.000 0.000
P 0.000 0.000 2.275
P 2.275 0.000 0.000
```

DFT formation energy, meV per atom: 847
DFT total energy, eV per cell: -25.13
Total magnetic moment, μB/cell: 2.060
SG: P4/mmm, No. 123

Compound: ErTh2Hg
Source: Alexandria via LeMat-Bulk
Functional: PBE
Structure: relaxed

```
4
Lattice="5.027 0.000 0.000 0.000 4.788 0.000 0.000 0.000 4.788" Properties=species:S:1:pos:R:3 pbc="T T T"
Hg 2.513 0.000 0.000
Th 0.000 0.000 2.394
Th 0.000 2.394 0.000
Er 2.513 2.394 2.394
```

DFT formation energy, meV per atom: -75
DFT total energy, eV per cell: -20.00
Polymorph energy (0 for the lowest one), meV per atom: 0
Total magnetic moment, μB/cell: 0.000
SG: P4/mmm, No. 123

Compound: Ca2FeSe
Source: Alexandria via LeMat-Bulk
Functional: PBE
Structure: relaxed

```
4
Lattice="4.137 0.000 0.000 0.000 4.100 -0.006 0.000 2.059 5.597" Properties=species:S:1:pos:R:3 pbc="T T T"
Ca 0.000 5.903 5.108
Ca 2.068 1.796 1.902
Fe 0.000 3.846 2.716
Se 2.068 3.851 4.252
```

DFT total energy, eV per cell: -17.99
Polymorph energy (0 for the lowest one), meV per atom: 0
Total magnetic moment, μB/cell: 2.095
SG: Amm2, No. 38
Raw formation energy, eV/atom: -0.509

Compound: Mg3BiPt
Source: Alexandria via LeMat-Bulk
Functional: PBE
Structure: relaxed

```
5
Lattice="5.305 0.000 0.000 0.000 5.305 0.000 0.000 0.000 5.305" Properties=species:S:1:pos:R:3 pbc="T T T"
Mg 0.000 2.652 0.000
Mg 0.000 0.000 2.652
Mg 2.652 0.000 0.000
Bi 0.000 0.000 0.000
Pt 2.652 2.652 2.652
```

DFT formation energy, meV per atom: 631
DFT total energy, eV per cell: -11.55
Polymorph energy (0 for the lowest one), meV per atom: 1069
Total magnetic moment, μB/cell: 0.000
SG: Pm-3m, No. 221

Compound: Sm2GdC
Source: Alexandria via LeMat-Bulk
Functional: PBE
Structure: relaxed

```
4
Lattice="-0.292 1.563 3.231 -0.444 -2.023 2.946 9.557 -0.658 3.188" Properties=species:S:1:pos:R:3 pbc="T T T"
C 4.411 -0.559 4.682
Gd 0.000 0.000 0.000
Sm 6.041 -0.477 2.783
Sm 2.780 -0.641 6.581
```

DFT formation energy, meV per atom: 7
DFT total energy, eV per cell: -32.72
Total magnetic moment, μB/cell: 7.740
SG: R-3m, No. 166

Compound: TbEr3B
Source: Alexandria via LeMat-Bulk
Functional: PBE
Structure: relaxed

```
5
Lattice="-2.297 2.847 -3.573 1.319 -3.416 -3.569 -4.374 -2.525 0.800" Properties=species:S:1:pos:R:3 pbc="T T T"
B 0.000 0.000 0.000
Tb -2.676 -1.547 -3.171
Er 0.659 -1.708 -1.785
Er -2.187 -1.263 0.400
Er -1.149 1.423 -1.787
```

DFT formation energy, meV per atom: 52
DFT total energy, eV per cell: -24.74
Total magnetic moment, μB/cell: 0.000
SG: Pm-3m, No. 221

Compound: Ti2Cu2Ni5
Source: Alexandria via LeMat-Bulk
Functional: PBE
Structure: relaxed

```
18
Lattice="8.400 0.000 0.000 0.000 4.875 0.000 -4.200 -2.437 5.556" Properties=species:S:1:pos:R:3 pbc="T T T"
Ti 0.032 2.645 1.375
Ti 4.168 0.208 4.181
Ti 4.168 0.208 1.375
Ti 0.032 2.645 4.181
Cu 0.000 0.059 0.000
Cu 4.200 2.496 0.000
Cu -0.036 0.421 2.778
Cu 4.236 2.858 2.778
Ni -2.134 0.992 5.008
Ni 6.334 3.430 0.548
Ni -2.066 -1.445 5.008
Ni 6.266 0.992 0.548
Ni 1.900 -0.425 1.604
Ni 2.300 2.013 3.952
Ni 2.300 2.013 1.604
Ni 1.900 -0.425 3.952
Ni -1.954 2.045 2.778
Ni 6.154 -0.393 2.778
```

DFT formation energy, meV per atom: -43
DFT total energy, eV per cell: -106.55
Total magnetic moment, μB/cell: 0.000
SG: Ima2, No. 46

Compound: Sc2SiAu2
Source: Alexandria via LeMat-Bulk
Functional: PBE
Structure: relaxed

```
10
Lattice="7.510 0.000 0.000 0.000 7.510 0.000 0.000 0.000 3.621" Properties=species:S:1:pos:R:3 pbc="T T T"
Sc 2.521 6.276 0.000
Sc 6.276 4.989 0.000
Sc 4.989 1.234 0.000
Sc 1.234 2.521 0.000
Si 0.000 0.000 0.000
Si 3.755 3.755 0.000
Au 1.005 4.760 1.810
Au 4.760 6.504 1.810
Au 6.504 2.750 1.810
Au 2.750 1.005 1.810
```

DFT total energy, eV per cell: -53.47
Polymorph energy (0 for the lowest one), meV per atom: 156
Total magnetic moment, μB/cell: 0.000
SG: P4/mbm, No. 127
Raw formation energy, eV/atom: -0.418

Compound: BaNaPb3
Source: Alexandria via LeMat-Bulk
Functional: PBE
Structure: relaxed

```
5
Lattice="-6.045 1.674 -1.194 -1.396 -0.620 6.200 1.509 6.131 0.953" Properties=species:S:1:pos:R:3 pbc="T T T"
Pb -0.698 -0.310 3.100
Pb 0.755 3.065 0.476
Pb -3.023 0.837 -0.597
Na -2.966 3.592 2.980
Ba 0.000 0.000 0.000
```

DFT formation energy, meV per atom: 596
DFT total energy, eV per cell: -11.38
Polymorph energy (0 for the lowest one), meV per atom: 887
Total magnetic moment, μB/cell: 0.000
SG: Pm-3m, No. 221

Compound: BeCo4Rh
Source: Alexandria via LeMat-Bulk
Functional: PBE
Structure: relaxed

```
6
Lattice="0.000 3.281 3.281 3.281 0.000 3.281 3.281 3.281 0.000" Properties=species:S:1:pos:R:3 pbc="T T T"
Be 0.000 0.000 0.000
Co 2.456 2.456 4.106
Co 2.456 4.106 2.456
Co 4.106 4.106 4.106
Co 4.106 2.456 2.456
Rh 1.640 1.640 1.640
```

DFT formation energy, meV per atom: 164
DFT total energy, eV per cell: -38.52
Total magnetic moment, μB/cell: 7.583
SG: F-43m, No. 216